Arrangement 1

# Y2Zn2Ge

A relaxed Y2Zn2Ge crystal (PBE-GGA, Alexandria via LeMat-Bulk).

abc: 7.952 7.952 3.816
angles: 90.00 90.00 90.00
Positions (direct):
Y: 0.324 0.824 0.000
Y: 0.824 0.676 0.000
Y: 0.676 0.176 0.000
Y: 0.176 0.324 0.000
Ge: 0.000 0.000 0.000
Ge: 0.500 0.500 0.000
Zn: 0.120 0.620 0.500
Zn: 0.620 0.880 0.500
Zn: 0.880 0.380 0.500
Zn: 0.380 0.120 0.500

Calculated values
Space group ... P4/mbm

---

Arrangement 2

# Y2Zn2Ge

A relaxed Y2Zn2Ge crystal (PBE-GGA, Alexandria via LeMat-Bulk).

abc: 6.923 6.923 4.480
angles: 90.00 90.00 90.00
Positions (direct):
Y: 0.173 0.673 0.500
Y: 0.673 0.827 0.500
Y: 0.827 0.327 0.500
Y: 0.327 0.173 0.500
Ge: 0.000 0.000 0.000
Ge: 0.500 0.500 0.000
Zn: 0.373 0.873 0.000
Zn: 0.873 0.627 0.000
Zn: 0.627 0.127 0.000
Zn: 0.127 0.373 0.000

Calculated values
Space group ... P4/mbm

---

Which is most stable, and by how much? arrangement 2, by 28.8 kJ/mol of atoms.

---

Arrangement 1

# Y3ZrGe

A relaxed Y3ZrGe crystal (PBE-GGA, Alexandria via LeMat-Bulk).

abc: 5.448 5.448 5.448
angles: 90.00 90.00 90.00
Positions (direct):
Y: 0.000 0.500 0.000
Y: 0.000 0.000 0.500
Y: 0.500 0.000 0.000
Ge: 0.500 0.500 0.500
Zr: 0.000 0.000 0.000

Calculated values
Space group ... Pm-3m

---

Arrangement 2

# Y3ZrGe

A relaxed Y3ZrGe crystal (PBE-GGA, Alexandria via LeMat-Bulk).

abc: 5.448 5.448 5.448
angles: 90.00 90.00 90.00
Positions (direct):
Y: 0.000 0.500 0.000
Y: 0.000 0.000 0.500
Y: 0.500 0.000 0.000
Ge: 0.000 0.000 0.000
Zr: 0.500 0.500 0.500

Calculated values
Space group ... Pm-3m

---

Which is most stable, and by how much? arrangement 2, by 53.9 kJ/mol of atoms.

---

Arrangement 1

# ZrZnGe3

A relaxed ZrZnGe3 crystal (PBE-GGA, Alexandria via LeMat-Bulk).

abc: 5.218 5.218 5.218
angles: 90.00 90.00 90.00
Positions (direct):
Ge: 0.000 0.500 0.000
Ge: 0.000 0.000 0.500
Ge: 0.500 0.000 0.000
Zn: 0.500 0.500 0.500
Zr: 0.000 0.000 0.000

Calculated values
Space group ... Pm-3m

---

Arrangement 2

# ZrZnGe3

A relaxed ZrZnGe3 crystal (PBE-GGA, Alexandria via LeMat-Bulk).

abc: 4.760 4.760 4.760
angles: 90.00 90.00 90.00
Positions (direct):
Ge: 0.000 0.500 0.000
Ge: 0.000 0.000 0.500
Ge: 0.500 0.000 0.000
Zn: 0.000 0.000 0.000
Zr: 0.500 0.500 0.500

Calculated values
Space group ... Pm-3m

---

Which is most stable, and by how much? arrangement 1, by 2.4 kJ/mol of atoms.

---

Arrangement 1

# Zr2Zn2Ge

A relaxed Zr2Zn2Ge crystal (PBE-GGA, Alexandria via LeMat-Bulk).

abc: 4.361 4.361 6.403
angles: 70.09 70.09 90.00
Positions (direct):
Ge: 0.000 0.000 0.000
Zn: 0.399 0.399 0.203
Zn: 0.601 0.601 0.797
Zr: 0.750 0.250 0.500
Zr: 0.250 0.750 0.500

Calculated values
Space group ... I4/mmm

---

Arrangement 2

# Zr2Zn2Ge

A relaxed Zr2Zn2Ge crystal (PBE-GGA, Alexandria via LeMat-Bulk).

abc: 6.630 6.630 4.148
angles: 90.00 90.00 90.00
Positions (direct):
Ge: 0.000 0.000 0.000
Ge: 0.500 0.500 0.000
Zn: 0.371 0.871 0.000
Zn: 0.871 0.629 0.000
Zn: 0.629 0.129 0.000
Zn: 0.129 0.371 0.000
Zr: 0.172 0.672 0.500
Zr: 0.672 0.828 0.500
Zr: 0.828 0.328 0.500
Zr: 0.328 0.172 0.500

Calculated values
Space group ... P4/mbm

---

Which is most stable, and by how much? arrangement 2, by 56.2 kJ/mol of atoms.

---

Arrangement 1

# H

A relaxed H crystal (PBE-GGA, Alexandria via LeMat-Bulk).

abc: 11.198 11.198 3.184
angles: 90.00 90.00 90.00
Positions (direct):
H: 0.603 0.864 0.000
H: 0.397 0.136 0.000
H: 0.136 0.603 0.000
H: 0.864 0.397 0.000
H: 0.103 0.364 0.500
H: 0.897 0.636 0.500
H: 0.636 0.103 0.500
H: 0.364 0.897 0.500
H: 0.340 0.399 0.000
H: 0.660 0.601 0.000
H: 0.601 0.340 0.000
H: 0.399 0.660 0.000
H: 0.840 0.899 0.500
H: 0.160 0.101 0.500
H: 0.101 0.840 0.500
H: 0.899 0.160 0.500

Calculated values
Space group ... I4/m

---

Arrangement 2

# H

A relaxed H crystal (PBE-GGA, Alexandria via LeMat-Bulk).

abc: 3.386 3.386 5.528
angles: 90.00 90.00 120.00
Positions (direct):
H: 0.333 0.667 0.250
H: 0.667 0.333 0.750

Calculated values
Space group ... P6_3/mmc

---

Arrangement 3

# H

A relaxed H crystal (PBE-GGA, Alexandria via LeMat-Bulk).

abc: 3.361 3.361 3.361
angles: 109.47 109.47 109.47
Positions (direct):
H: 0.000 0.000 0.000

Calculated values
Space group ... Im-3m

---

Arrangement 4

# H

A relaxed H crystal (PBE-GGA, Alexandria via LeMat-Bulk).

abc: 2.095 2.095 2.095
angles: 60.00 60.00 60.00
Positions (direct):
H: 0.750 0.750 0.750
H: 0.500 0.500 0.500

Calculated values
Space group ... Fd-3m

---

Which is most stable, and by how much? arrangement 4, by 144.4 kJ/mol of atoms.

---

Arrangement 1

# H

A relaxed H crystal (PBE-GGA, Alexandria via LeMat-Bulk).

abc: 3.135 3.135 2.944
angles: 90.00 90.00 120.00
Positions (direct):
H: 0.000 0.000 0.500

Calculated values
Space group ... P6/mmm

---

Arrangement 2

# H

A relaxed H crystal (PBE-GGA, Alexandria via LeMat-Bulk).

abc: 6.282 6.027 10.631
angles: 90.00 90.00 90.00
Positions (direct):
H: 0.111 0.548 0.750
H: 0.389 0.048 0.750
H: 0.889 0.452 0.250
H: 0.611 0.952 0.250
H: 0.610 0.549 0.750
H: 0.890 0.049 0.750
H: 0.390 0.451 0.250
H: 0.110 0.951 0.250
H: 0.139 0.250 0.000
H: 0.361 0.750 0.500
H: 0.861 0.750 0.500
H: 0.639 0.250 0.000
H: 0.861 0.750 0.000
H: 0.639 0.250 0.500
H: 0.139 0.250 0.500
H: 0.361 0.750 0.000

Calculated values
Space group ... Pnma

---

Arrangement 3

# H

A relaxed H crystal (PBE-GGA, Alexandria via LeMat-Bulk).

abc: 7.523 9.097 3.319
angles: 93.69 101.12 127.92
Positions (direct):
H: 0.778 0.500 0.917
H: 0.443 0.833 0.248
H: 0.777 0.834 0.919
H: 0.112 0.167 0.585
H: 0.111 0.500 0.583
H: 0.110 0.833 0.583
H: 0.778 0.167 0.915
H: 0.445 0.500 0.252
H: 0.445 0.167 0.250

Calculated values
Space group ... P-1

---

Arrangement 4

# H

A relaxed H crystal (PBE-GGA, Alexandria via LeMat-Bulk).

abc: 8.589 8.589 8.589
angles: 90.00 90.00 90.00
Positions (direct):
H: 0.199 0.199 0.199
H: 0.199 0.801 0.801
H: 0.801 0.199 0.801
H: 0.801 0.801 0.199
H: 0.699 0.699 0.699
H: 0.699 0.301 0.301
H: 0.301 0.699 0.301
H: 0.301 0.301 0.699
H: 0.377 0.377 0.377
H: 0.377 0.623 0.623
H: 0.623 0.377 0.623
H: 0.623 0.623 0.377
H: 0.877 0.877 0.877
H: 0.877 0.123 0.123
H: 0.123 0.877 0.123
H: 0.123 0.123 0.877

Calculated values
Space group ... I-43m

---

Which is most stable, and by how much? arrangement 2, by 1.0 kJ/mol of atoms.

---

Arrangement 1

# HfH4

A relaxed HfH4 crystal (PBE-GGA, Alexandria via LeMat-Bulk).

abc: 3.728 3.728 3.728
angles: 90.00 90.00 90.00
Positions (direct):
H: 0.000 0.000 0.000
H: 0.500 0.000 0.500
H: 0.000 0.500 0.500
H: 0.500 0.500 0.000
Hf: 0.500 0.500 0.500

Calculated values
Space group ... Pm-3m

---

Arrangement 2

# HfH4

A relaxed HfH4 crystal (PBE-GGA, Alexandria via LeMat-Bulk).

abc: 3.567 3.608 5.429
angles: 90.00 112.24 90.00
Positions (direct):
Hf: 0.000 0.000 0.000
Hf: 0.000 0.500 0.500
H: 0.168 0.519 0.892
H: 0.832 0.019 0.608
H: 0.832 0.481 0.108
H: 0.168 0.981 0.392
H: 0.407 0.358 0.312
H: 0.593 0.858 0.188
H: 0.593 0.642 0.688
H: 0.407 0.142 0.812

Calculated values
Space group ... P2_1/c

---

Which is most stable, and by how much? arrangement 2, by 49.8 kJ/mol of atoms.

---

Arrangement 1

# HfHgH

A relaxed HfHgH crystal (PBE-GGA, Alexandria via LeMat-Bulk).

abc: 3.162 3.162 9.007
angles: 89.97 89.97 89.98
Positions (direct):
Hf: 0.813 0.866 0.066
Hf: 0.314 0.367 0.774
Hg: 0.814 0.867 0.543
Hg: 0.313 0.366 0.296
H: 0.814 0.366 0.920
H: 0.314 0.867 0.920

Calculated values
Space group ... C2/m

---

Arrangement 2

# HfHgH

A relaxed HfHgH crystal (PBE-GGA, Alexandria via LeMat-Bulk).

abc: 3.174 3.174 9.487
angles: 99.63 99.63 90.00
Positions (direct):
Hf: 0.080 0.080 0.161
Hf: 0.920 0.920 0.839
Hg: 0.309 0.309 0.617
Hg: 0.691 0.691 0.383
H: 0.000 0.500 0.000
H: 0.500 0.000 0.000

Calculated values
Space group ... I4/mmm

---

Arrangement 3

# HfHgH

A relaxed HfHgH crystal (PBE-GGA, Alexandria via LeMat-Bulk).

abc: 3.277 5.787 6.046
angles: 60.06 105.69 90.09
Positions (direct):
H: 0.199 0.158 0.398
H: 0.801 0.842 0.602
Hf: 0.778 0.210 0.556
Hf: 0.222 0.790 0.444
Hg: 0.518 0.728 0.039
Hg: 0.482 0.272 0.961

Calculated values
Space group ... P-1

---

Arrangement 4

# HfHgH

A relaxed HfHgH crystal (PBE-GGA, Alexandria via LeMat-Bulk).

abc: 4.784 3.355 3.355
angles: 120.00 90.00 90.00
Positions (direct):
H: 0.167 0.000 0.000
Hf: 0.167 0.667 0.333
Hg: 0.667 0.333 0.667

Calculated values
Space group ... P-6m2

---

Which is most stable, and by how much? arrangement 4, by 5.2 kJ/mol of atoms.